# TaCuPb2

A relaxed TaCuPb2 crystal (PBE-GGA, Alexandria).

Unit cell a=6.234 b=6.234 c=6.234 alpha=150.94 beta=131.83 gamma=57.24
Fractional positions:
Ta 0.466 0.466 0.000
Pb 0.027 0.027 0.000
Pb 0.737 0.237 0.500
Cu 0.269 0.769 0.500

Output
space-group type: No. 44
offset from the most stable computed form: 219 meV/atom
electronic total energy: -5.35 eV/atom
total magnetic moment: 0.00 μB/f.u.
D(E_F): 3.09 states/eV per cell

=====

# Ta2CuPb

A relaxed Ta2CuPb crystal (PBE-GGA, Alexandria).

Unit cell a=5.222 b=5.222 c=2.957 alpha=90.00 beta=90.00 gamma=114.24
Fractional positions:
Pb 0.000 0.500 0.500
Ta 0.500 0.500 0.000
Ta 0.000 0.000 0.000
Cu 0.500 0.000 0.500

Output
space-group type: No. 65
electronic total energy: -7.39 eV/atom
total magnetic moment: 0.00 μB/f.u.
D(E_F): 2.68 states/eV per cell

=====

# TaCuPb

A relaxed TaCuPb crystal (PBE-GGA, Alexandria).

Unit cell a=4.596 b=4.596 c=3.057 alpha=90.00 beta=90.00 gamma=120.00
Fractional positions:
Pb 0.667 0.333 0.227
Cu 0.000 0.000 0.075
Ta 0.333 0.667 0.698

Output
space-group type: No. 156
electronic total energy: -5.94 eV/atom
total magnetic moment: 0.00 μB/f.u.
D(E_F): 1.81 states/eV per cell

=====

# TaCuPb2

A relaxed TaCuPb2 crystal (PBE-GGA, Alexandria).

Unit cell a=5.048 b=5.048 c=5.048 alpha=60.00 beta=60.00 gamma=60.00
Each line ends with the local moment (μB).
Fractional positions:
Cu 0.500 0.500 0.500  0.02
Pb 0.250 0.250 0.250  -0.01
Pb 0.000 0.000 0.000  0.01
Ta 0.750 0.750 0.750  0.86

Output
space-group type: No. 216
offset from the most stable computed form: 640 meV/atom
electronic total energy: -4.92 eV/atom
total magnetic moment: 1.26 μB/f.u.
D(E_F): 4.74 states/eV per cell

=====

# Ta2CuPb

A relaxed Ta2CuPb crystal (PBE-GGA, Alexandria).

Unit cell a=7.417 b=7.417 c=5.956 alpha=51.49 beta=51.49 gamma=90.00
Fractional positions:
Cu 0.500 0.500 0.000
Cu 0.250 0.750 0.500
Pb 0.750 0.250 0.500
Pb 0.000 0.000 0.000
Ta 0.875 0.847 0.750
Ta 0.375 0.403 0.750
Ta 0.597 0.125 0.250
Ta 0.153 0.625 0.250

Output
space-group type: No. 122
electronic total energy: -7.16 eV/atom
total magnetic moment: 0.00 μB/f.u.
D(E_F): 3.85 states/eV per cell

=====

# Ta2CuPb

A relaxed Ta2CuPb crystal (PBE-GGA, Alexandria).

Unit cell a=9.464 b=9.464 c=9.464 alpha=18.59 beta=18.59 gamma=18.59
Fractional positions:
Ta 0.992 0.992 0.992
Ta 0.508 0.508 0.508
Cu 0.250 0.250 0.250
Pb 0.750 0.750 0.750

Output
space-group type: No. 166
electronic total energy: -7.31 eV/atom
total magnetic moment: 0.00 μB/f.u.
D(E_F): 3.80 states/eV per cell

=====

# Ta2CuPb

A relaxed Ta2CuPb crystal (PBE-GGA, Alexandria).

Unit cell a=4.480 b=4.022 c=4.022 alpha=90.00 beta=90.00 gamma=90.00
Fractional positions:
Ta 0.000 0.000 0.000
Ta 0.000 0.500 0.500
Pb 0.500 0.000 0.500
Cu 0.500 0.500 0.000

Output
space-group type: No. 123
electronic total energy: -7.53 eV/atom
total magnetic moment: 0.00 μB/f.u.
D(E_F): 1.90 states/eV per cell

=====

# TaCuPb2

A relaxed TaCuPb2 crystal (PBE-GGA, Alexandria).

Unit cell a=5.814 b=5.814 c=5.209 alpha=72.92 beta=72.92 gamma=31.07
Fractional positions:
Cu 0.784 0.784 0.777
Pb 0.015 0.015 0.939
Pb 0.230 0.230 0.318
Ta 0.471 0.471 0.466

Output
space-group type: No. 8
offset from the most stable computed form: 176 meV/atom
electronic total energy: -5.39 eV/atom
total magnetic moment: 0.00 μB/f.u.
D(E_F): 2.29 states/eV per cell

=====

# TbCuPb

A relaxed TbCuPb crystal (PBE-GGA, Alexandria).

Unit cell a=3.695 b=4.642 c=4.642 alpha=120.00 beta=90.00 gamma=90.00
Fractional positions:
Tb 0.667 0.667 0.333
Pb 0.167 0.333 0.667
Cu 0.166 0.000 0.000

Output
space-group type: No. 187
electronic total energy: -4.45 eV/atom
total magnetic moment: 0.00 μB/f.u.
D(E_F): 1.05 states/eV per cell

=====

# Tb2CuPb

A relaxed Tb2CuPb crystal (PBE-GGA, Alexandria).

Unit cell a=3.493 b=3.493 c=8.146 alpha=90.00 beta=90.00 gamma=90.00
Fractional positions:
Pb 0.500 0.500 0.500
Tb 0.000 0.000 0.215
Tb 0.000 0.000 0.785
Cu 0.500 0.500 0.000

Output
space-group type: No. 123
electronic total energy: -4.59 eV/atom
total magnetic moment: 0.00 μB/f.u.
D(E_F): 3.93 states/eV per cell

=====

# Tb6Cu2Pb

A relaxed Tb6Cu2Pb crystal (PBE-GGA, Alexandria).

Unit cell a=8.613 b=8.613 c=8.613 alpha=105.31 beta=109.43 gamma=113.78
Fractional positions:
Pb 0.000 0.500 0.500
Pb 0.000 0.000 0.000
Tb 0.474 0.287 0.186
Tb 0.798 0.234 0.033
Tb 0.202 0.234 0.436
Tb 0.309 0.629 0.321
Tb 0.691 0.371 0.679
Tb 0.691 0.012 0.321
Tb 0.101 0.287 0.814
Tb 0.899 0.713 0.186
Tb 0.526 0.713 0.814
Tb 0.798 0.766 0.564
Tb 0.309 0.988 0.679
Tb 0.202 0.766 0.967
Cu 0.352 0.000 0.352
Cu 0.500 0.618 0.118
Cu 0.648 0.000 0.648
Cu 0.500 0.382 0.882

Output
space-group type: No. 71
electronic total energy: -4.64 eV/atom
total magnetic moment: 0.00 μB/f.u.
D(E_F): 14.98 states/eV per cell

=====

# TbCuPb

A relaxed TbCuPb crystal (PBE-GGA, Alexandria).

Unit cell a=3.463 b=3.463 c=6.346 alpha=105.83 beta=105.83 gamma=90.00
Fractional positions:
Cu 0.280 0.280 0.560
Tb 0.640 0.640 0.280
Pb 0.930 0.930 0.860

Output
space-group type: No. 107
electronic total energy: -4.31 eV/atom
total magnetic moment: 0.00 μB/f.u.
D(E_F): 1.75 states/eV per cell

=====

# TbCuPb

A relaxed TbCuPb crystal (PBE-GGA, Alexandria).

Unit cell a=6.234 b=5.961 c=8.215 alpha=68.47 beta=90.00 gamma=90.00
Fractional positions:
Pb 0.135 0.282 0.987
Pb 0.865 0.718 0.013
Pb 0.365 0.782 0.487
Pb 0.635 0.218 0.513
Cu 0.960 0.129 0.740
Cu 0.040 0.871 0.260
Cu 0.540 0.629 0.240
Cu 0.460 0.371 0.760
Tb 0.366 0.827 0.874
Tb 0.634 0.173 0.126
Tb 0.134 0.327 0.374
Tb 0.866 0.673 0.626

Output
space-group type: No. 14
electronic total energy: -4.36 eV/atom
total magnetic moment: 0.00 μB/f.u.
D(E_F): 7.80 states/eV per cell

=====

# Tb5CuPb3

A relaxed Tb5CuPb3 crystal (PBE-GGA, Alexandria).

Unit cell a=9.265 b=9.265 c=6.693 alpha=90.00 beta=90.00 gamma=120.00
Fractional positions:
Pb 0.388 0.388 0.250
Pb 0.000 0.388 0.750
Pb 0.388 0.000 0.750
Pb 0.612 0.612 0.750
Pb 0.612 0.000 0.250
Pb 0.000 0.612 0.250
Tb 0.667 0.333 0.000
Tb 0.333 0.667 0.000
Tb 0.255 0.000 0.250
Tb 0.745 0.000 0.750
Tb 0.000 0.255 0.250
Tb 0.333 0.667 0.500
Tb 0.745 0.745 0.250
Tb 0.000 0.745 0.750
Tb 0.255 0.255 0.750
Tb 0.667 0.333 0.500
Cu 0.000 0.000 0.000
Cu 0.000 0.000 0.500

Output
space-group type: No. 193
electronic total energy: -4.77 eV/atom
total magnetic moment: 0.00 μB/f.u.
D(E_F): 15.26 states/eV per cell

=====

# Tb5Cu2Pb

A relaxed Tb5Cu2Pb crystal (PBE-GGA, Alexandria).

Unit cell a=7.964 b=7.964 c=8.656 alpha=117.39 beta=117.39 gamma=90.00
Fractional positions:
Tb 0.796 0.986 0.282
Tb 0.500 0.500 0.000
Tb 0.000 0.000 0.000
Tb 0.204 0.014 0.718
Tb 0.704 0.204 0.718
Tb 0.486 0.296 0.282
Tb 0.986 0.486 0.282
Tb 0.296 0.796 0.282
Tb 0.014 0.514 0.718
Tb 0.514 0.704 0.718
Cu 0.371 0.871 0.000
Cu 0.871 0.629 0.000
Cu 0.129 0.371 0.000
Cu 0.629 0.129 0.000
Pb 0.750 0.750 0.500
Pb 0.250 0.250 0.500

Output
space-group type: No. 140
electronic total energy: -4.66 eV/atom
total magnetic moment: 0.00 μB/f.u.
D(E_F): 19.30 states/eV per cell

=====

# Tb2CuPb

A relaxed Tb2CuPb crystal (PBE-GGA, Alexandria).

Unit cell a=3.610 b=3.610 c=10.493 alpha=80.09 beta=80.09 gamma=60.00
Fractional positions:
Cu 0.500 0.500 0.500
Tb 0.103 0.103 0.691
Tb 0.897 0.897 0.309
Pb 0.000 0.000 0.000

Output
space-group type: No. 166
electronic total energy: -4.18 eV/atom
total magnetic moment: 0.00 μB/f.u.
D(E_F): 4.24 states/eV per cell

=====

# TbCuTe3Pb

A relaxed TbCuTe3Pb crystal (PBE-GGA, Alexandria).

Unit cell a=4.306 b=9.198 c=9.675 alpha=104.44 beta=90.00 gamma=90.00
Fractional positions:
Tb 0.750 0.324 0.832
Tb 0.250 0.676 0.168
Te 0.750 0.905 0.138
Te 0.250 0.095 0.862
Te 0.250 0.775 0.492
Te 0.750 0.225 0.508
Te 0.750 0.434 0.166
Te 0.250 0.566 0.834
Pb 0.750 0.814 0.761
Pb 0.250 0.186 0.239
Cu 0.250 0.074 0.574
Cu 0.750 0.926 0.426

Output
space-group type: No. 11
electronic total energy: -4.35 eV/atom
E_form (uncorrected): -0.7107 eV per atom
total magnetic moment: 0.00 μB/f.u.

=====

# TbTmCuPb

A relaxed TbTmCuPb crystal (PBE-GGA, Alexandria).

Unit cell a=5.179 b=5.179 c=5.179 alpha=60.00 beta=60.00 gamma=60.00
Fractional positions:
Tb 0.250 0.250 0.250
Cu 0.500 0.500 0.500
Tm 0.750 0.750 0.750
Pb 0.000 0.000 0.000

Output
space-group type: No. 216
electronic total energy: -4.51 eV/atom
total magnetic moment: 0.00 μB/f.u.
D(E_F): 3.97 states/eV per cell

=====

# TbZnCuPb

A relaxed TbZnCuPb crystal (PBE-GGA, Alexandria).

Unit cell a=4.922 b=4.922 c=4.922 alpha=60.00 beta=60.00 gamma=60.00
Fractional positions:
Tb 0.000 0.000 0.000
Zn 0.750 0.750 0.750
Cu 0.250 0.250 0.250
Pb 0.500 0.500 0.500

Output
space-group type: No. 216
electronic total energy: -3.58 eV/atom
total magnetic moment: 0.00 μB/f.u.
D(E_F): 1.82 states/eV per cell

=====

# CuTcPb2

A relaxed CuTcPb2 crystal (PBE-GGA, Alexandria).

Unit cell a=3.213 b=3.213 c=8.656 alpha=90.00 beta=90.00 gamma=90.00
Each line ends with the local moment (μB).
Fractional positions:
Tc 0.000 0.000 0.557  0.26
Pb 0.000 0.000 0.915  -0.01
Pb 0.500 0.500 0.324  -0.01
Cu 0.500 0.500 0.703  0.02

Output
space-group type: No. 99
offset from the most stable computed form: 36 meV/atom
electronic total energy: -5.03 eV/atom
total magnetic moment: 0.27 μB/f.u.
D(E_F): 2.54 states/eV per cell